Below is crystalline BaMgMoF7 at its relaxed geometry, with properties calculated at the PBE+U level.

abc: 5.7486 10.2655 9.9409
angles: 90.00 92.66 90.00
Space group P2_1/c (No. 14)
Symmetry-distinct sites (fractional):
Ba  0.2322  0.1701  0.0048 (multiplicity 4)
Mg  0.1866  0.6091  0.8089 (multiplicity 4)
Mo  0.3054  0.6097  0.1836 (multiplicity 4)
F  0.0142  0.7175  0.2478 (multiplicity 4)
F  0.0991  0.5400  0.6322 (multiplicity 4)
F  0.1268  0.0609  0.6256 (multiplicity 4)
F  0.2379  0.6950  0.9914 (multiplicity 4)
F  0.3701  0.0424  0.3741 (multiplicity 4)
F  0.3954  0.5418  0.3754 (multiplicity 4)
F  0.4689  0.7143  0.7450 (multiplicity 4)

Results
ρ, g/cm3: 4.4
VASP energy, eV per atom: -5.637